! PBE with a Hubbard U W3IF, optimized geometry; values from VASP
&SYSTEM
  ibrav = 0, nat = 5, ntyp = 3
/
ATOMIC_SPECIES
W 183.84 W.upf
I 126.90 I.upf
F 19.00 F.upf
CELL_PARAMETERS angstrom
5.0266 0.0000 0.0000
0.0000 5.0266 0.0000
0.0000 0.0000 5.0266
ATOMIC_POSITIONS angstrom
W 0.0000 0.0000 2.5133
W 0.0000 2.5133 0.0000
W 2.5133 0.0000 0.0000
I 0.0000 0.0000 0.0000
F 2.5133 2.5133 2.5133
! DFT total energy = -1.944 eV per atom